[1]
Material: YRe2GeF
Method: DFT, PBE
State: relaxed

Results
SG: P4/mmm (123)
Formation energy without anion corrections (eV per formula unit): 6.404

Structure (POSCAR):
```
YRe2GeF
1.0
5.4052 0.0000 0.0000
0.0000 5.4052 0.0000
0.0000 0.0000 4.1516
Y Re Ge F
1 2 1 1
Direct
0.0000 0.0000 0.0000
0.0000 0.5000 0.0000
0.5000 0.0000 0.0000
0.5000 0.5000 0.5000
0.0000 0.0000 0.5000
```

[2]
Material: GeRhF2
Method: DFT, PBE
State: relaxed

Results
SG: Fm-3m (225)
Energy relative to the lowest polymorph listed for this composition (meV per atom): 389.0
Formation energy without anion corrections (eV per formula unit): -2.042

Structure (POSCAR):
```
GeRhF2
1.0
5.9632 0.0000 0.0000
0.0000 5.9632 0.0000
0.0000 0.0000 5.9632
Ge Rh F
4 4 8
Direct
0.0000 0.0000 0.0000
0.0000 0.5000 0.5000
0.5000 0.0000 0.5000
0.5000 0.5000 0.0000
0.0000 0.0000 0.5000
0.0000 0.5000 0.0000
0.5000 0.0000 0.0000
0.5000 0.5000 0.5000
0.2500 0.2500 0.2500
0.2500 0.2500 0.7500
0.2500 0.7500 0.2500
0.2500 0.7500 0.7500
0.7500 0.2500 0.2500
0.7500 0.2500 0.7500
0.7500 0.7500 0.2500
0.7500 0.7500 0.7500
```

[3]
Material: GeRhF2
Method: DFT, PBE
State: relaxed

Results
SG: R-3m (166)
Energy relative to the lowest polymorph listed for this composition (meV per atom): 0.0
Formation energy without anion corrections (eV per formula unit): -3.598

Structure (POSCAR):
```
GeRhF2
1.0
2.8019 0.0000 0.0000
-1.4009 2.4265 0.0000
0.0000 0.0000 23.4981
Ge Rh F
3 3 6
Direct
0.0000 0.0000 0.0000
0.3333 0.6667 0.6667
0.6667 0.3333 0.3333
0.0000 0.0000 0.5000
0.3333 0.6667 0.1667
0.6667 0.3333 0.8333
0.0000 0.0000 0.4138
0.0000 0.0000 0.5862
0.3333 0.6667 0.0805
0.3333 0.6667 0.2529
0.6667 0.3333 0.7471
0.6667 0.3333 0.9195
```

[4]
Material: GeRhF2
Method: DFT, PBE
State: relaxed

Results
SG: I-42d (122)
Energy relative to the lowest polymorph listed for this composition (meV per atom): 21.6
Formation energy without anion corrections (eV per formula unit): -3.511

Structure (POSCAR):
```
GeRhF2
1.0
3.6604 0.0000 0.0000
0.0000 3.6604 0.0000
0.0000 0.0000 15.5326
Ge Rh F
4 4 8
Direct
0.0000 0.0000 0.0000
0.0000 0.5000 0.2500
0.5000 0.0000 0.7500
0.5000 0.5000 0.5000
0.0000 0.0000 0.5000
0.0000 0.5000 0.7500
0.5000 0.0000 0.2500
0.5000 0.5000 0.0000
0.2473 0.2500 0.6250
0.2500 0.7473 0.8750
0.2500 0.7527 0.3750
0.2527 0.2500 0.1250
0.7473 0.7500 0.1250
0.7500 0.2473 0.3750
0.7500 0.2527 0.8750
0.7527 0.7500 0.6250
```

[5]
Material: Tl2GeRhF
Method: DFT, PBE
State: relaxed

Results
SG: P4/mmm (123)
Formation energy without anion corrections (eV per formula unit): -0.400

Structure (POSCAR):
```
Tl2GeRhF
1.0
5.3762 0.0000 0.0000
0.0000 5.3762 0.0000
0.0000 0.0000 4.0661
Tl Ge Rh F
2 1 1 1
Direct
0.0000 0.5000 0.0000
0.5000 0.0000 0.0000
0.0000 0.0000 0.5000
0.5000 0.5000 0.0000
0.5000 0.5000 0.5000
```

[6]
Material: GeRu2F
Method: DFT, PBE
State: relaxed

Results
SG: Fm-3m (225)
Energy relative to the lowest polymorph listed for this composition (meV per atom): 0.0
Formation energy without anion corrections (eV per formula unit): -0.046

Structure (POSCAR):
```
GeRu2F
1.0
5.9637 0.0000 0.0000
0.0000 5.9637 0.0000
0.0000 0.0000 5.9637
Ge Ru F
4 8 4
Direct
0.0000 0.0000 0.0000
0.0000 0.5000 0.5000
0.5000 0.0000 0.5000
0.5000 0.5000 0.0000
0.2500 0.2500 0.2500
0.2500 0.2500 0.7500
0.2500 0.7500 0.2500
0.2500 0.7500 0.7500
0.7500 0.2500 0.2500
0.7500 0.2500 0.7500
0.7500 0.7500 0.2500
0.7500 0.7500 0.7500
0.0000 0.0000 0.5000
0.0000 0.5000 0.0000
0.5000 0.0000 0.0000
0.5000 0.5000 0.5000
```

[7]
Material: GeRuF2
Method: DFT, PBE
State: relaxed

Results
SG: Fm-3m (225)
Energy relative to the lowest polymorph listed for this composition (meV per atom): 503.0
Formation energy without anion corrections (eV per formula unit): -1.335

Structure (POSCAR):
```
GeRuF2
1.0
5.9984 0.0000 0.0000
0.0000 5.9984 0.0000
0.0000 0.0000 5.9984
Ge Ru F
4 4 8
Direct
0.0000 0.0000 0.0000
0.0000 0.5000 0.5000
0.5000 0.0000 0.5000
0.5000 0.5000 0.0000
0.0000 0.0000 0.5000
0.0000 0.5000 0.0000
0.5000 0.0000 0.0000
0.5000 0.5000 0.5000
0.2500 0.2500 0.2500
0.2500 0.2500 0.7500
0.2500 0.7500 0.2500
0.2500 0.7500 0.7500
0.7500 0.2500 0.2500
0.7500 0.2500 0.7500
0.7500 0.7500 0.2500
0.7500 0.7500 0.7500
```

[8]
Material: GeRuF2
Method: DFT, PBE
State: relaxed

Results
SG: I-42d (122)
Energy relative to the lowest polymorph listed for this composition (meV per atom): 766.6
Formation energy without anion corrections (eV per formula unit): -0.281

Structure (POSCAR):
```
GeRuF2
1.0
5.4471 0.0000 0.0000
0.0000 5.4471 0.0000
0.0000 0.0000 9.6503
Ge Ru F
4 4 8
Direct
0.0000 0.0000 0.0000
0.0000 0.5000 0.2500
0.5000 0.0000 0.7500
0.5000 0.5000 0.5000
0.0000 0.0000 0.5000
0.0000 0.5000 0.7500
0.5000 0.0000 0.2500
0.5000 0.5000 0.0000
0.2399 0.2500 0.1250
0.2500 0.7399 0.3750
0.2500 0.7601 0.8750
0.2601 0.2500 0.6250
0.7399 0.7500 0.6250
0.7500 0.2399 0.8750
0.7500 0.2601 0.3750
0.7601 0.7500 0.1250
```

[9]
Material: Ge2RuF
Method: DFT, PBE
State: relaxed

Results
SG: Fm-3m (225)
Energy relative to the lowest polymorph listed for this composition (meV per atom): 43.1
Formation energy without anion corrections (eV per formula unit): -0.809

Structure (POSCAR):
```
Ge2RuF
1.0
6.1531 0.0000 0.0000
0.0000 6.1531 0.0000
0.0000 0.0000 6.1531
Ge Ru F
8 4 4
Direct
0.2500 0.2500 0.2500
0.2500 0.2500 0.7500
0.2500 0.7500 0.2500
0.2500 0.7500 0.7500
0.7500 0.2500 0.2500
0.7500 0.2500 0.7500
0.7500 0.7500 0.2500
0.7500 0.7500 0.7500
0.0000 0.0000 0.0000
0.0000 0.5000 0.5000
0.5000 0.0000 0.5000
0.5000 0.5000 0.0000
0.0000 0.0000 0.5000
0.0000 0.5000 0.0000
0.5000 0.0000 0.0000
0.5000 0.5000 0.5000
```

[10]
Material: GeRu3F
Method: DFT, PBE
State: relaxed

Results
SG: Pm-3m (221)
Energy relative to the lowest polymorph listed for this composition (meV per atom): 0.0
Formation energy without anion corrections (eV per formula unit): 4.821

Structure (POSCAR):
```
GeRu3F
1.0
4.1830 0.0000 0.0000
0.0000 4.1830 0.0000
0.0000 0.0000 4.1830
Ge Ru F
1 3 1
Direct
0.0000 0.0000 0.0000
0.0000 0.5000 0.5000
0.5000 0.0000 0.5000
0.5000 0.5000 0.0000
0.5000 0.5000 0.5000
```

[11]
Material: Ge3RuF
Method: DFT, PBE
State: relaxed

Results
SG: Pm-3m (221)
Energy relative to the lowest polymorph listed for this composition (meV per atom): 0.0
Formation energy without anion corrections (eV per formula unit): -1.170

Structure (POSCAR):
```
Ge3RuF
1.0
4.7698 0.0000 0.0000
0.0000 4.7698 0.0000
0.0000 0.0000 4.7698
Ge Ru F
3 1 1
Direct
0.0000 0.0000 0.5000
0.0000 0.5000 0.0000
0.5000 0.0000 0.0000
0.0000 0.0000 0.0000
0.5000 0.5000 0.5000
```

[12]
Material: GeRu2F
Method: DFT, PBE
State: relaxed

Results
SG: I-42d (122)
Energy relative to the lowest polymorph listed for this composition (meV per atom): 72.7
Formation energy without anion corrections (eV per formula unit): 0.245

Structure (POSCAR):
```
GeRu2F
1.0
7.8813 0.0000 0.0000
0.0000 7.8813 0.0000
0.0000 0.0000 4.1881
Ge Ru F
4 8 4
Direct
0.0000 0.0000 0.0000
0.0000 0.5000 0.2500
0.5000 0.0000 0.7500
0.5000 0.5000 0.5000
0.1786 0.2500 0.1250
0.2500 0.6786 0.3750
0.2500 0.8214 0.8750
0.3214 0.2500 0.6250
0.6786 0.7500 0.6250
0.7500 0.1786 0.8750
0.7500 0.3214 0.3750
0.8214 0.7500 0.1250
0.0000 0.0000 0.5000
0.0000 0.5000 0.7500
0.5000 0.0000 0.2500
0.5000 0.5000 0.0000
```